Crystalline UCd2Sn at its relaxed geometry. Source: Alexandria, functional PBE.

Output
Total energy in eV/cell: -16.89

Cell lengths 4.4867, 4.4867, 4.9119 Å; angles 90.00, 90.00, 90.00 degrees
Last column: nearest neighbours and their distance in Å.
Space group P4/mmm (No. 123)
Asymmetric unit:
U: 0.0000 0.0000 0.0000 [1 per cell]  4 Sn 3.17, 8 Cd 3.33
Cd: 0.0000 0.5000 0.5000 [2 per cell]  4 Cd 3.17, 4 Sn 3.33, 4 U 3.33
Sn: 0.5000 0.5000 0.0000 [1 per cell]  4 U 3.17, 8 Cd 3.33

Crystalline Rb2ErMnSe4 at its relaxed geometry. Source: Alexandria, functional PBE.

Output
Energy relative to the elements, uncorrected in eV per atom: -1.09

Cell lengths 8.6371, 8.6424, 12.2627 Å; angles 90.00, 90.00, 90.00 degrees
Last column: nearest neighbours and their distance in Å.
Space group Imma (No. 74)
Asymmetric unit:
Rb: 0.0000 0.0000 0.0000 [4 per cell]  6 Se 3.27-3.29
Rb: 0.2500 0.2500 0.2500 [4 per cell]  6 Se 3.38-3.40
Er: 0.0000 0.0000 0.5000 [4 per cell]  6 Se 2.88-2.91
Mn: 0.2500 0.2500 0.7500 [4 per cell]  6 Se 2.76-2.78
Se: 0.0000 0.0530 0.7343 [8 per cell]  2 Mn 2.76, 1 Er 2.91
Se: 0.2176 0.2500 0.5243 [8 per cell]  1 Mn 2.78, 2 Er 2.88

Crystalline Pu3HgH at its relaxed geometry. Source: Alexandria, functional PBE.

Output
Total energy in eV/cell: -47.09

Cell lengths 4.7957, 4.7957, 4.7957 Å; angles 90.00, 90.00, 90.00 degrees
Last column: nearest neighbours and their distance in Å.
Space group Pm-3m (No. 221)
Asymmetric unit:
Pu: 0.0000 0.0000 0.5000 [3 per cell]  2 H 2.40
Hg: 0.5000 0.5000 0.5000 [1 per cell]  12 Pu 3.39
H: 0.0000 0.0000 0.0000 [1 per cell]  6 Pu 2.40

Crystalline TlVCo2Br8 at its relaxed geometry. Source: Alexandria, functional PBE.

Output
Energy relative to the elements, uncorrected in eV per atom: -0.52

Cell lengths 10.8021, 7.4136, 9.6162 Å; angles 90.00, 94.49, 90.00 degrees
Last column: nearest neighbours and their distance in Å.
Space group C2/m (No. 12)
Asymmetric unit:
Tl: 0.0000 0.0000 0.0000 [2 per cell]  6 Br 3.41-3.46
V: 0.0000 0.0000 0.5000 [2 per cell]  6 Br 2.52-2.59
Co: 0.1245 0.5000 0.2966 [4 per cell]  4 Br 2.33-2.43
Br: 0.0144 0.2428 0.6945 [8 per cell]  1 Co 2.43, 1 V 2.59
Br: 0.1969 0.5000 0.0751 [4 per cell]  1 Co 2.33
Br: 0.2333 0.0000 0.4976 [4 per cell]  1 Co 2.41, 1 V 2.52

Crystalline YCo2Hg2 at its relaxed geometry. Source: Alexandria, functional PBE.

Output
E above lowest polymorph in meV/atom: 0.0

Cell lengths 4.2430, 4.2430, 10.8672 Å; angles 90.00, 90.00, 90.00 degrees
Last column: nearest neighbours and their distance in Å.
Space group I4/mmm (No. 139)
Asymmetric unit:
Y: 0.0000 0.0000 0.0000 [2 per cell]  8 Co 3.18, 8 Hg 3.45
Co: 0.0000 0.0000 0.4027 [4 per cell]  1 Co 2.11
Hg: 0.0000 0.5000 0.2500 [4 per cell]  4 Co 2.69, 4 Hg 3.00

Crystalline Tb3Nd7Tl at its relaxed geometry. Source: Alexandria, functional PBE.

Output
Total energy in eV/cell: -48.26

Cell lengths 7.1256, 7.1256, 8.6645 Å; angles 90.00, 90.00, 120.00 degrees
Last column: nearest neighbours and their distance in Å.
Space group P3m1 (No. 156)
Asymmetric unit:
Tb: 0.1673 0.3346 0.0000 [3 per cell]  1 Tl 3.47, 5 Nd 3.51-3.57, 4 Tb 3.55-3.58
Nd: 0.0047 0.5023 0.6687 [3 per cell]  7 Nd 3.51-3.61, 2 Tb 3.52, 2 Tl 3.56
Nd: 0.3292 0.1646 0.3368 [3 per cell]  8 Nd 3.52-3.61, 2 Tb 3.57, 1 Tl 3.59
Nd: 0.3333 0.6667 0.3291 [1 per cell]  3 Tb 3.51, 9 Nd 3.56-3.57
Tl: 0.0000 0.0000 0.6786 [1 per cell]  3 Tb 3.47, 9 Nd 3.56-3.59